Computed, not measured: Ba3LiSe after structural relaxation at the PBE-GGA level of DFT.

```
Ba3LiSe
1.0
6.417 0.000 0.000
0.000 6.417 0.000
0.000 0.000 6.417
Li Ba Se
1 3 1
direct
0.500 0.500 0.500
0.500 0.000 0.000
0.000 0.500 0.000
0.000 0.000 0.500
0.000 0.000 0.000
```

## Properties
energy relative to the elements, uncorrected: -0.6443 eV per atom
ρ: 3.13 g cm⁻³
distance to the lowest polymorph of the same formula: 0.000 eV/atom
total energy: -0.2115 Ry/atom